Record 1
! Tb2YHo | Alexandria via LeMat-Bulk | PBE-GGA | relaxed; values from VASP
! * energy relative to the elements: 19 meV per atom
! * space group: R-3m, No. 166
! * E: -20.23 eV/cell
! * V: 31.7 A^3/atom
! * size of the total moment: 0.0 μB per cell
&SYSTEM
  ibrav = 0, nat = 4, ntyp = 3
/
ATOMIC_SPECIES
Y 88.91 Y.upf
Tb 158.93 Tb.upf
Ho 164.93 Ho.upf
CELL_PARAMETERS angstrom
3.555 0.000 0.000
1.778 3.079 0.000
1.778 1.026 11.584
ATOMIC_POSITIONS angstrom
Y 3.555 2.053 5.792
Tb 5.333 3.079 8.706
Tb 1.778 1.026 2.878
Ho 0.000 0.000 0.000

***

Record 2
! ZrV3Sb | Alexandria via LeMat-Bulk | PBE-GGA | relaxed; values from VASP
! * uncorrected formation energy: 1.207 eV per atom
! * space group: Pm-3m, No. 221
! * E: -33.99 eV/cell
! * V: 21.8 A^3/atom
! * size of the total moment: 1.5 μB per cell
&SYSTEM
  ibrav = 0, nat = 5, ntyp = 3
/
ATOMIC_SPECIES
Sb 121.76 Sb.upf
Zr 91.22 Zr.upf
V 50.94 V.upf
CELL_PARAMETERS angstrom
4.780 0.000 0.000
0.000 4.780 0.000
0.000 0.000 4.780
ATOMIC_POSITIONS angstrom
Sb 0.000 0.000 0.000
Zr 2.390 2.390 2.390
V 0.000 2.390 0.000
V 0.000 0.000 2.390
V 2.390 0.000 0.000